(1)
Density functional theory data (GGA-PBE) for crystalline Hf2AlInPd2Au2 at its relaxed geometry.

abc: 4.658 4.658 6.620
angles: 90.00 90.00 90.00
Element x y z (fractional)
1 Au 0.000 0.500 0.762
2 Au 0.500 0.000 0.238
3 In 0.500 0.500 0.500
4 Pd 0.000 0.500 0.232
5 Pd 0.500 0.000 0.768
6 Al 0.000 0.000 0.000
7 Hf 0.000 0.000 0.500
8 Hf 0.500 0.500 0.000

Summary:
electronic total energy = -6.0192 eV/atom
space-group type = P-4m2, No. 115
total magnetic moment = 0.0 μB per formula unit


(2)
Density functional theory data (GGA-PBE) for crystalline Hf3Al3Ir2Au at its relaxed geometry.

abc: 7.229 7.229 3.494
angles: 90.00 90.00 120.00
Element x y z (fractional)
1 Ir 0.667 0.333 0.000
2 Ir 0.333 0.667 0.000
3 Hf 0.403 0.000 0.500
4 Hf 0.597 0.597 0.500
5 Hf 0.000 0.403 0.500
6 Al 0.271 0.271 0.000
7 Al 0.729 0.000 0.000
8 Al 0.000 0.729 0.000
9 Au 0.000 0.000 0.500

Summary:
electronic total energy = -7.7126 eV/atom
space-group type = P-62m, No. 189
total magnetic moment = 0.0 μB per formula unit


(3)
Density functional theory data (GGA-PBE) for crystalline Hf3Al3IrAu2 at its relaxed geometry.

abc: 4.122 6.744 6.744
angles: 120.02 90.00 90.00
Element x y z (fractional)
1 Hf 0.000 0.408 0.000
2 Hf 0.000 0.592 0.592
3 Hf 0.000 0.000 0.408
4 Au 0.500 0.333 0.666
5 Au 0.500 0.666 0.333
6 Al 0.500 0.000 0.759
7 Al 0.500 0.241 0.241
8 Al 0.500 0.759 0.000
9 Ir 0.000 0.000 0.000

Summary:
electronic total energy = -7.0159 eV/atom
space-group type = P-62m, No. 189
total magnetic moment = 0.0 μB per formula unit


(4)
Density functional theory data (GGA-PBE) for crystalline Hf2ZrAl3IrAu2 at its relaxed geometry.

abc: 4.117 6.781 6.781
angles: 120.39 90.00 90.00
Element x y z (fractional)
1 Al 0.500 0.241 0.002
2 Al 0.500 0.757 0.757
3 Al 0.500 0.002 0.241
4 Ir 0.000 0.995 0.995
5 Hf 0.000 0.594 0.000
6 Hf 0.000 0.000 0.594
7 Zr 0.000 0.409 0.409
8 Au 0.500 0.670 0.332
9 Au 0.500 0.332 0.670

Summary:
electronic total energy = -6.8708 eV/atom
space-group type = Amm2, No. 38
total magnetic moment = 0.0 μB per formula unit


(5)
Density functional theory data (GGA-PBE) for crystalline HfZr2Al3IrAu2 at its relaxed geometry.

abc: 4.125 6.774 6.774
angles: 119.54 90.00 90.00
Element x y z (fractional)
1 Au 0.500 0.334 0.663
2 Au 0.500 0.663 0.334
3 Ir 0.000 0.006 0.006
4 Hf 0.000 0.404 0.404
5 Al 0.500 0.241 0.998
6 Al 0.500 0.998 0.241
7 Al 0.500 0.761 0.761
8 Zr 0.000 0.000 0.592
9 Zr 0.000 0.592 0.000

Summary:
electronic total energy = -6.7244 eV/atom
space-group type = Amm2, No. 38
total magnetic moment = 0.0 μB per formula unit


(6)
Density functional theory data (GGA-PBE) for crystalline Hf4AlAuN2 at its relaxed geometry.

abc: 3.222 3.222 14.086
angles: 90.00 90.00 120.00
Element x y z (fractional)
1 Hf 0.333 0.667 0.839
2 Hf 0.667 0.333 0.661
3 Hf 0.333 0.667 0.161
4 Hf 0.667 0.333 0.339
5 N 0.000 0.000 0.248
6 N 0.000 0.000 0.752
7 Al 0.333 0.667 0.500
8 Au 0.667 0.333 0.000

Summary:
electronic total energy = -9.0387 eV/atom
space-group type = P-6m2, No. 187
total magnetic moment = 0.0 μB per formula unit


(7)
Density functional theory data (GGA-PBE) for crystalline Hf3Al3NiPdAu at its relaxed geometry.

abc: 7.067 7.067 3.583
angles: 90.00 90.00 120.00
Element x y z (fractional)
1 Hf 0.344 0.064 0.500
2 Hf 0.720 0.656 0.500
3 Hf 0.936 0.280 0.500
4 Al 0.332 0.423 0.000
5 Al 0.091 0.668 0.000
6 Al 0.577 0.909 0.000
7 Pd 0.667 0.333 0.000
8 Au 0.000 0.000 0.000
9 Ni 0.333 0.667 0.500

Summary:
electronic total energy = -6.7769 eV/atom
space-group type = P-6, No. 174
total magnetic moment = 0.0 μB per formula unit


(8)
Density functional theory data (GGA-PBE) for crystalline HfAlPdAu at its relaxed geometry.

abc: 4.606 4.606 4.606
angles: 60.00 60.00 60.00
Element x y z (fractional)
1 Hf 0.000 0.000 0.000
2 Pd 0.250 0.250 0.250
3 Al 0.500 0.500 0.500
4 Au 0.750 0.750 0.750

Summary:
electronic total energy = -6.2034 eV/atom
space-group type = F-43m, No. 216
total magnetic moment = 0.0 μB per formula unit


(9)
Density functional theory data (GGA-PBE) for crystalline HfAlPdAu at its relaxed geometry.

abc: 4.587 4.587 4.587
angles: 60.00 60.00 60.00
Element x y z (fractional)
1 Pd 0.500 0.500 0.500
2 Al 0.000 0.000 0.000
3 Au 0.250 0.250 0.250
4 Hf 0.750 0.750 0.750

Summary:
electronic total energy = -5.9947 eV/atom
space-group type = F-43m, No. 216
total magnetic moment = 0.0 μB per formula unit


(10)
Density functional theory data (GGA-PBE) for crystalline HfAlPdAu at its relaxed geometry.

abc: 4.594 4.594 4.594
angles: 60.00 60.00 60.00
Element x y z (fractional)
1 Pd 0.500 0.500 0.500
2 Hf 0.000 0.000 0.000
3 Al 0.250 0.250 0.250
4 Au 0.750 0.750 0.750

Summary:
electronic total energy = -6.0165 eV/atom
space-group type = F-43m, No. 216
total magnetic moment = 0.0 μB per formula unit


(11)
Density functional theory data (GGA-PBE) for crystalline Hf2ZrAl3PtAu2 at its relaxed geometry.

abc: 4.107 6.808 6.808
angles: 120.49 90.00 90.00
Element x y z (fractional)
1 Hf 0.000 0.000 0.590
2 Hf 0.000 0.590 0.000
3 Al 0.500 0.753 0.753
4 Al 0.500 0.245 0.002
5 Al 0.500 0.002 0.245
6 Pt 0.000 0.994 0.994
7 Zr 0.000 0.413 0.413
8 Au 0.500 0.332 0.671
9 Au 0.500 0.671 0.332

Summary:
electronic total energy = -6.5858 eV/atom
space-group type = Amm2, No. 38
total magnetic moment = 0.0 μB per formula unit


(12)
Density functional theory data (GGA-PBE) for crystalline TmHfAl2Au4 at its relaxed geometry.

abc: 4.514 4.514 8.749
angles: 90.00 90.00 120.00
Element x y z (fractional)
1 Au 0.000 0.000 0.166
2 Au 0.667 0.333 0.662
3 Au 0.667 0.333 0.338
4 Au 0.000 0.000 0.834
5 Al 0.333 0.667 0.701
6 Al 0.333 0.667 0.299
7 Hf 0.000 0.000 0.500
8 Tm 0.667 0.333 0.000

Summary:
electronic total energy = -5.0104 eV/atom
space-group type = P-6m2, No. 187
total magnetic moment = 0.0 μB per formula unit


(13)
Density functional theory data (GGA-PBE) for crystalline AlHgAu2 at its relaxed geometry.

abc: 4.729 4.729 4.729
angles: 60.00 60.00 60.00
Element x y z (fractional)
1 Au 0.750 0.750 0.750
2 Au 0.000 0.000 0.000
3 Hg 0.250 0.250 0.250
4 Al 0.500 0.500 0.500

Summary:
electronic total energy = -2.5968 eV/atom
space-group type = F-43m, No. 216


(14)
Density functional theory data (GGA-PBE) for crystalline AlHg2Au at its relaxed geometry.

abc: 4.921 4.921 4.921
angles: 60.00 60.00 60.00
Element x y z (fractional)
1 Hg 0.750 0.750 0.750
2 Hg 0.000 0.000 0.000
3 Al 0.500 0.500 0.500
4 Au 0.250 0.250 0.250

Summary:
electronic total energy = -1.7598 eV/atom
space-group type = F-43m, No. 216


(15)
Density functional theory data (GGA-PBE) for crystalline AlHgAu at its relaxed geometry.

abc: 4.457 4.457 4.457
angles: 60.00 60.00 60.00
Element x y z (fractional)
1 Hg 0.750 0.750 0.750
2 Al 0.000 0.000 0.000
3 Au 0.250 0.250 0.250

Summary:
electronic total energy = -2.4997 eV/atom
space-group type = F-43m, No. 216


(16)
Density functional theory data (GGA-PBE) for crystalline Li4Al2HgAu at its relaxed geometry.

abc: 4.427 4.427 6.274
angles: 90.00 90.00 90.00
Element x y z (fractional)
1 Li 0.000 0.000 0.000
2 Li 0.000 0.500 0.756
3 Li 0.500 0.000 0.244
4 Li 0.500 0.500 0.500
5 Hg 0.000 0.000 0.500
6 Al 0.500 0.000 0.769
7 Al 0.000 0.500 0.231
8 Au 0.500 0.500 0.000

Summary:
electronic total energy = -2.7366 eV/atom
space-group type = P-4m2, No. 115


(17)
Density functional theory data (GGA-PBE) for crystalline Li2Mg2AlHgAu2 at its relaxed geometry.

abc: 4.566 4.566 6.574
angles: 90.00 90.00 90.00
Element x y z (fractional)
1 Au 0.500 0.000 0.282
2 Au 0.000 0.500 0.718
3 Al 0.000 0.000 0.500
4 Hg 0.500 0.500 0.000
5 Mg 0.500 0.500 0.500
6 Mg 0.000 0.000 0.000
7 Li 0.500 0.000 0.747
8 Li 0.000 0.500 0.253

Summary:
electronic total energy = -2.6442 eV/atom
space-group type = P-4m2, No. 115


(18)
Density functional theory data (GGA-PBE) for crystalline MgAlHgAu at its relaxed geometry.

abc: 4.733 4.733 4.733
angles: 60.00 60.00 60.00
Element x y z (fractional)
1 Al 0.500 0.500 0.500
2 Hg 0.250 0.250 0.250
3 Mg 0.000 0.000 0.000
4 Au 0.750 0.750 0.750

Summary:
electronic total energy = -2.4281 eV/atom
space-group type = F-43m, No. 216


(19)
Density functional theory data (GGA-PBE) for crystalline Na4Al2HgAu at its relaxed geometry.

abc: 4.871 4.871 6.917
angles: 90.00 90.00 90.00
Element x y z (fractional)
1 Al 0.500 0.000 0.767
2 Al 0.000 0.500 0.233
3 Na 0.000 0.500 0.754
4 Na 0.000 0.000 0.000
5 Na 0.500 0.500 0.500
6 Na 0.500 0.000 0.246
7 Au 0.500 0.500 0.000
8 Hg 0.000 0.000 0.500

Summary:
electronic total energy = -2.1081 eV/atom
space-group type = P-4m2, No. 115


(20)
Density functional theory data (GGA-PBE) for crystalline AlNiHgAu at its relaxed geometry.

abc: 4.531 4.531 4.531
angles: 60.00 60.00 60.00
Element x y z (fractional)
1 Hg 0.250 0.250 0.250
2 Ni 0.750 0.750 0.750
3 Al 0.000 0.000 0.000
4 Au 0.500 0.500 0.500

Summary:
electronic total energy = -3.1399 eV/atom
space-group type = F-43m, No. 216
total magnetic moment = 0.0 μB per formula unit


(21)
Density functional theory data (GGA-PBE) for crystalline HoAl7Au3 at its relaxed geometry.

abc: 8.087 8.087 8.436
angles: 90.00 118.64 60.00
Element x y z (fractional)
1 Al 0.263 0.569 0.910
2 Al 0.480 0.853 0.410
3 Al 0.737 0.431 0.090
4 Al 0.737 0.333 0.590
5 Al 0.520 0.833 0.090
6 Al 0.520 0.147 0.590
7 Al 0.078 0.069 0.410
8 Al 0.500 0.750 0.750
9 Al 0.922 0.931 0.590
10 Al 0.500 0.250 0.250
11 Al 0.922 0.647 0.090
12 Al 0.480 0.167 0.910
13 Al 0.078 0.353 0.910
14 Al 0.263 0.667 0.410
15 Au 0.176 0.250 0.250
16 Au 0.824 0.926 0.250
17 Au 0.500 0.426 0.750
18 Au 0.824 0.750 0.750
19 Au 0.500 0.574 0.250
20 Au 0.176 0.074 0.750
21 Ho 0.000 0.000 0.000
22 Ho 0.000 0.500 0.500

Summary:
electronic total energy = -4.2005 eV/atom
space-group type = R-3c, No. 167
total magnetic moment = 0.0 μB per formula unit


(22)
Density functional theory data (GGA-PBE) for crystalline Ho2Al5Au3 at its relaxed geometry.

abc: 8.604 8.604 8.604
angles: 100.89 93.31 138.88
Element x y z (fractional)
1 Al 0.993 0.250 0.743
2 Al 0.507 0.250 0.257
3 Al 0.750 0.750 0.000
4 Al 0.007 0.750 0.257
5 Al 0.886 0.355 0.241
6 Al 0.114 0.645 0.759
7 Al 0.250 0.250 0.000
8 Al 0.493 0.750 0.743
9 Al 0.614 0.855 0.469
10 Al 0.386 0.145 0.531
11 Au 0.371 0.368 0.739
12 Au 0.871 0.132 0.002
13 Au 0.629 0.632 0.261
14 Au 0.250 0.750 0.500
15 Au 0.750 0.250 0.500
16 Au 0.129 0.868 0.998
17 Ho 0.629 0.260 0.889
18 Ho 0.129 0.240 0.370
19 Ho 0.371 0.740 0.111
20 Ho 0.871 0.760 0.630

Summary:
electronic total energy = -4.4155 eV/atom
space-group type = Ibam, No. 72
total magnetic moment = 0.0 μB per formula unit


(23)
Density functional theory data (GGA-PBE) for crystalline Ho2Al4NiAu at its relaxed geometry.

abc: 6.847 5.503 5.503
angles: 45.52 90.00 90.00
Element x y z (fractional)
1 Au 0.000 0.211 0.211
2 Ho 0.000 0.926 0.926
3 Ho 0.500 0.068 0.068
4 Al 0.312 0.359 0.359
5 Al 0.209 0.643 0.643
6 Al 0.688 0.359 0.359
7 Al 0.791 0.643 0.643
8 Ni 0.500 0.791 0.791

Summary:
electronic total energy = -4.7644 eV/atom
space-group type = Amm2, No. 38
total magnetic moment = 0.0 μB per formula unit


(24)
Density functional theory data (GGA-PBE) for crystalline YHo2Al3NiAu2 at its relaxed geometry.

abc: 4.089 7.172 7.172
angles: 120.16 90.00 90.00
Element x y z (fractional)
1 Ho 0.000 0.599 0.000
2 Ho 0.000 0.000 0.599
3 Al 0.500 0.000 0.224
4 Al 0.500 0.224 0.000
5 Al 0.500 0.775 0.775
6 Y 0.000 0.403 0.403
7 Au 0.500 0.669 0.332
8 Au 0.500 0.332 0.669
9 Ni 0.000 0.997 0.997

Summary:
electronic total energy = -5.0899 eV/atom
space-group type = Amm2, No. 38
total magnetic moment = 0.0 μB per formula unit


(25)
Density functional theory data (GGA-PBE) for crystalline Ho2Al2Pd3Au at its relaxed geometry.

abc: 4.397 4.397 9.094
angles: 90.00 90.00 120.00
Element x y z (fractional)
1 Al 0.333 0.667 0.012
2 Al 0.333 0.667 0.497
3 Ho 0.667 0.333 0.744
4 Ho 0.000 0.000 0.251
5 Pd 0.667 0.333 0.419
6 Pd 0.000 0.000 0.579
7 Pd 0.667 0.333 0.082
8 Au 0.000 0.000 0.914

Summary:
electronic total energy = -5.3411 eV/atom
space-group type = P3m1, No. 156
total magnetic moment = 0.0 μB per formula unit